[1]
# Ca2AcZr

An optimized crystal structure of Ca2AcZr (GGA-PBE, Alexandria via LeMat-Bulk).

DFT formation energy ... 0.51 eV per atom
M_tot ... 1.9 μB/f.u.
DFT total energy ... -3.657 eV per atom

Cell lengths 3.5942, 3.5942, 13.2139 Å; angles 82.18, 82.18, 60.00 degrees
Closest atoms and distances in Å follow each position.
Atoms (fractional coordinates):
Ac 0.5000 0.5000 0.5000  6 Ac 3.59, 6 Ca 3.93
Ca 0.0815 0.0815 0.7555  1 Zr 3.19
Ca 0.9185 0.9185 0.2445  1 Zr 3.19
Zr 0.0000 0.0000 0.0000  2 Ca 3.19

=====

[2]
# Cu5Ru3

An optimized crystal structure of Cu5Ru3 (GGA-PBE, Alexandria via LeMat-Bulk).

DFT formation energy ... 0.43 eV per atom
M_tot ... 0.0 μB/f.u.
DFT total energy ... -5.608 eV per atom

Cell lengths 7.3513, 7.3512, 4.5957 Å; angles 90.00, 90.00, 120.01 degrees
Closest atoms and distances in Å follow each position.
Atoms (fractional coordinates):
Ru 0.0000 0.4162 0.7500  9 Cu 2.49-2.77, 2 Ru 2.61
Ru 0.0000 0.5838 0.2500  9 Cu 2.49-2.77, 2 Ru 2.61
Ru 0.4162 0.0000 0.7500  9 Cu 2.49-2.77, 2 Ru 2.61
Ru 0.4162 0.4162 0.2500  9 Cu 2.49-2.77, 2 Ru 2.61
Ru 0.5838 0.0000 0.2500  9 Cu 2.49-2.77, 2 Ru 2.61
Ru 0.5838 0.5838 0.7500  9 Cu 2.49-2.77, 2 Ru 2.61
Cu 0.0000 0.2074 0.2500  6 Cu 2.64-2.76, 5 Ru 2.65-2.77
Cu 0.0000 0.7926 0.7500  6 Cu 2.64-2.76, 5 Ru 2.65-2.77
Cu 0.2074 0.0000 0.2500  6 Cu 2.64-2.76, 5 Ru 2.65-2.77
Cu 0.2074 0.2074 0.7500  6 Cu 2.64-2.76, 5 Ru 2.65-2.77
Cu 0.3333 0.6667 0.0000  2 Cu 2.30, 6 Ru 2.49
Cu 0.3333 0.6667 0.5000  2 Cu 2.30, 6 Ru 2.49
Cu 0.6667 0.3333 0.0000  2 Cu 2.30, 6 Ru 2.49
Cu 0.6667 0.3333 0.5000  2 Cu 2.30, 6 Ru 2.49
Cu 0.7926 0.0000 0.7500  6 Cu 2.64-2.76, 5 Ru 2.65-2.77
Cu 0.7926 0.7926 0.2500  6 Cu 2.64-2.76, 5 Ru 2.65-2.77

=====

[3]
# La5Pr2Y6

An optimized crystal structure of La5Pr2Y6 (GGA-PBE, Alexandria via LeMat-Bulk).

DFT formation energy ... 0.09 eV per atom
M_tot ... 0.0 μB/f.u.
DFT total energy ... -5.524 eV per atom

Cell lengths 3.6538, 11.8989, 20.9963 Å; angles 90.00, 90.00, 90.00 degrees
Closest atoms and distances in Å follow each position.
Atoms (fractional coordinates):
La 0.5000 0.2966 0.4528  3 La 3.65-3.67, 7 Y 3.65-4.04, 2 Pr 3.95
La 0.5000 0.7034 0.5472  3 La 3.65-3.67, 7 Y 3.65-4.04, 2 Pr 3.95
La 0.5000 0.7966 0.0472  3 La 3.65-3.67, 7 Y 3.65-4.04, 2 Pr 3.95
La 0.5000 0.2034 0.9528  3 La 3.65-3.67, 7 Y 3.65-4.04, 2 Pr 3.95
La 0.5000 0.5802 0.2749  5 Y 3.43-3.57, 4 Pr 3.54-3.69, 2 La 3.65
La 0.5000 0.4198 0.7251  5 Y 3.43-3.57, 4 Pr 3.54-3.69, 2 La 3.65
La 0.5000 0.0802 0.2251  5 Y 3.43-3.57, 4 Pr 3.54-3.69, 2 La 3.65
La 0.5000 0.9198 0.7749  5 Y 3.43-3.57, 4 Pr 3.54-3.69, 2 La 3.65
La 0.5000 0.5000 0.0000  6 Y 3.45-3.54, 4 La 3.65-3.67
La 0.5000 0.0000 0.5000  6 Y 3.45-3.54, 4 La 3.65-3.67
Pr 0.0000 0.3265 0.2871  3 Y 3.41-3.70, 4 La 3.54-3.69, 2 Pr 3.65
Pr 0.0000 0.6735 0.7129  3 Y 3.41-3.70, 4 La 3.54-3.69, 2 Pr 3.65
Pr 0.0000 0.8265 0.2129  3 Y 3.41-3.70, 4 La 3.54-3.69, 2 Pr 3.65
Pr 0.0000 0.1735 0.7871  3 Y 3.41-3.70, 4 La 3.54-3.69, 2 Pr 3.65
Y 0.0000 0.0771 0.3676  1 Pr 3.41, 6 La 3.45-3.66, 4 Y 3.57-3.65
Y 0.0000 0.9229 0.6324  1 Pr 3.41, 6 La 3.45-3.66, 4 Y 3.57-3.65
Y 0.0000 0.5771 0.1324  1 Pr 3.41, 6 La 3.45-3.66, 4 Y 3.57-3.65
Y 0.0000 0.4229 0.8676  1 Pr 3.41, 6 La 3.45-3.66, 4 Y 3.57-3.65
Y 0.5000 0.3190 0.1339  2 La 3.43-3.54, 6 Y 3.57-3.77, 2 Pr 3.70
Y 0.5000 0.6810 0.8661  2 La 3.43-3.54, 6 Y 3.57-3.77, 2 Pr 3.70
Y 0.5000 0.8190 0.3661  2 La 3.43-3.54, 6 Y 3.57-3.77, 2 Pr 3.70
Y 0.5000 0.1810 0.6339  2 La 3.43-3.54, 6 Y 3.57-3.77, 2 Pr 3.70
Y 0.0000 0.5590 0.4206  6 La 3.57-3.68, 5 Y 3.62-3.77, 1 Pr 3.94
Y 0.0000 0.4410 0.5794  6 La 3.57-3.68, 5 Y 3.62-3.77, 1 Pr 3.94
Y 0.0000 0.0590 0.0794  6 La 3.57-3.68, 5 Y 3.62-3.77, 1 Pr 3.94
Y 0.0000 0.9410 0.9206  6 La 3.57-3.68, 5 Y 3.62-3.77, 1 Pr 3.94

=====

[4]
# MgAg3Bi

An optimized crystal structure of MgAg3Bi (GGA-PBE, Alexandria via LeMat-Bulk).

DFT formation energy ... 0.48 eV per atom
M_tot ... 0.0 μB/f.u.
DFT total energy ... -2.328 eV per atom

Cell lengths 4.9595, 4.9595, 4.9595 Å; angles 90.00, 90.00, 90.00 degrees
Closest atoms and distances in Å follow each position.
Atoms (fractional coordinates):
Mg 0.0000 0.0000 0.0000  6 Ag 2.48
Bi 0.5000 0.5000 0.5000  12 Ag 3.51
Ag 0.0000 0.5000 0.0000  2 Mg 2.48
Ag 0.0000 0.0000 0.5000  2 Mg 2.48
Ag 0.5000 0.0000 0.0000  2 Mg 2.48